Record 1
Density functional theory data (PBE) for an optimized crystal structure of LaNd2P3Rh12.

Lattice parameters (Å, degrees): 9.0963 9.0963 12.8965 90.00 90.00 120.00
Space group R-3m (No. 166, hexagonal axes)
One atom of each set of equivalent atoms:
La 0.0000 0.0000 0.0000 (multiplicity 3)
Nd 0.0000 0.0000 0.3720 (multiplicity 6)
P 0.0000 0.5000 0.5000 (multiplicity 9)
Rh 0.0104 0.5052 0.3268 (multiplicity 18)
Rh 0.0285 0.5143 0.8815 (multiplicity 18)

## Properties
- size of the total moment (μB per atom) = 0.00
- ΔE_f (meV per atom) = -334
- volume (A^3/atom) = 17.113


Record 2
Density functional theory data (PBE) for an optimized crystal structure of La2NdP3Rh12.

Lattice parameters (Å, degrees): 8.9689 8.9689 13.2787 90.00 90.00 120.00
Space group R-3m (No. 166, hexagonal axes)
One atom of each set of equivalent atoms:
La 0.0000 0.0000 0.1176 (multiplicity 6)
Nd 0.0000 0.0000 0.5000 (multiplicity 3)
P 0.0000 0.5000 0.0000 (multiplicity 9)
Rh 0.0192 0.5096 0.8301 (multiplicity 18)
Rh 0.0421 0.5210 0.3734 (multiplicity 18)

## Properties
- size of the total moment (μB per atom) = 0.00
- ΔE_f (meV per atom) = -354
- volume (A^3/atom) = 17.130


Record 3
Density functional theory data (PBE) for an optimized crystal structure of LaNdPS.

Lattice parameters (Å, degrees): 4.1665 4.1665 20.5021 90.00 90.00 120.00
Space group R3m (No. 160, hexagonal axes)
One atom of each set of equivalent atoms:
La 0.0000 0.0000 0.0000 (multiplicity 3)
Nd 0.0000 0.0000 0.5045 (multiplicity 3)
P 0.0000 0.0000 0.2508 (multiplicity 3)
S 0.0000 0.0000 0.7538 (multiplicity 3)

## Properties
- E_form (uncorrected) (meV/atom) = -1885
- size of the total moment (μB per atom) = 0.00
- volume (A^3/atom) = 25.686


Record 4
Density functional theory data (PBE) for an optimized crystal structure of La2NdScP4.

Lattice parameters (Å, degrees): 7.142 4.136 7.142 90.00 109.47 90.00
Space group P2/m (No. 10)
One atom of each set of equivalent atoms:
La 0.000 0.000 0.000 (multiplicity 1)
La 0.500 0.500 0.000 (multiplicity 1)
Nd 0.000 0.500 0.500 (multiplicity 1)
Sc 0.500 0.000 0.500 (multiplicity 1)
P 0.257 0.000 0.737 (multiplicity 2)
P 0.267 0.500 0.270 (multiplicity 2)

## Properties
- size of the total moment (μB per atom) = 0.00
- ΔE_f (meV per atom) = -1486
- volume (A^3/atom) = 24.861


Record 5
Density functional theory data (PBE) for an optimized crystal structure of La3NdSm2P6.

Lattice parameters (Å, degrees): 7.277 12.603 7.281 90.00 109.45 90.00
Space group C2/m (No. 12)
One atom of each set of equivalent atoms:
La 0.000 0.000 0.000 (multiplicity 2)
La 0.000 0.334 0.000 (multiplicity 4)
Nd 0.000 0.500 0.500 (multiplicity 2)
Sm 0.000 0.167 0.500 (multiplicity 4)
P 0.246 0.000 0.743 (multiplicity 4)
P 0.249 0.332 0.743 (multiplicity 8)

## Properties
- size of the total moment (μB per atom) = 0.00
- ΔE_f (meV per atom) = -1565
- volume (A^3/atom) = 26.233


Record 6
Density functional theory data (PBE) for an optimized crystal structure of La2Nd3SmP6.

Lattice parameters (Å, degrees): 7.265 12.581 7.267 90.00 109.45 90.00
Space group C2/m (No. 12)
One atom of each set of equivalent atoms:
La 0.000 0.166 0.000 (multiplicity 4)
Nd 0.000 0.000 0.500 (multiplicity 2)
Nd 0.000 0.333 0.500 (multiplicity 4)
Sm 0.000 0.500 0.000 (multiplicity 2)
P 0.245 0.500 0.748 (multiplicity 4)
P 0.248 0.335 0.251 (multiplicity 8)

## Properties
- size of the total moment (μB per atom) = 0.00
- ΔE_f (meV per atom) = -1553
- volume (A^3/atom) = 26.092


Record 7
Density functional theory data (PBE) for an optimized crystal structure of LaNd2Sm3P6.

Lattice parameters (Å, degrees): 7.199 12.467 7.198 90.00 109.45 90.00
Space group C2/m (No. 12)
One atom of each set of equivalent atoms:
La 0.000 0.000 0.000 (multiplicity 2)
Nd 0.000 0.333 0.000 (multiplicity 4)
Sm 0.000 0.166 0.500 (multiplicity 4)
Sm 0.000 0.500 0.500 (multiplicity 2)
P 0.247 0.332 0.745 (multiplicity 8)
P 0.249 0.500 0.255 (multiplicity 4)

## Properties
- size of the total moment (μB per atom) = 0.00
- ΔE_f (meV per atom) = -1558
- volume (A^3/atom) = 25.381


Record 8
Density functional theory data (PBE) for an optimized crystal structure of LaNd2SmP4.

Lattice parameters (Å, degrees): 7.238 4.182 7.239 90.00 109.43 90.00
Space group P2/m (No. 10)
One atom of each set of equivalent atoms:
La 0.000 0.000 0.000 (multiplicity 1)
Nd 0.500 0.000 0.500 (multiplicity 1)
Nd 0.500 0.500 0.000 (multiplicity 1)
Sm 0.000 0.500 0.500 (multiplicity 1)
P 0.249 0.000 0.746 (multiplicity 2)
P 0.252 0.500 0.254 (multiplicity 2)

## Properties
- size of the total moment (μB per atom) = 0.00
- ΔE_f (meV per atom) = -1552
- volume (A^3/atom) = 25.832